Compound: Pr2Pt15Pb2
Source: Alexandria via LeMat-Bulk
Functional: PBE
Structure: optimized geometry

a b c (Å): 7.1175 7.1175 7.1175
angles (deg): 84.19 84.19 84.19
Element x y z (fractional)
Pr (0.1439, 0.1439, 0.1439)
Pr (0.8561, 0.8561, 0.8561)
Pt (0.0000, 0.5000, 0.5000)
Pt (0.1593, 0.1593, 0.6737)
Pt (0.1593, 0.6737, 0.1593)
Pt (0.1703, 0.5000, 0.8297)
Pt (0.1703, 0.8297, 0.5000)
Pt (0.3263, 0.8407, 0.8407)
Pt (0.5000, 0.0000, 0.5000)
Pt (0.5000, 0.1703, 0.8297)
Pt (0.5000, 0.5000, 0.0000)
Pt (0.5000, 0.8297, 0.1703)
Pt (0.6737, 0.1593, 0.1593)
Pt (0.8297, 0.1703, 0.5000)
Pt (0.8297, 0.5000, 0.1703)
Pt (0.8407, 0.3263, 0.8407)
Pt (0.8407, 0.8407, 0.3263)
Pb (0.3937, 0.3937, 0.3937)
Pb (0.6063, 0.6063, 0.6063)

Values from the calculation:
E_form in kJ/mol of atoms: -42
Symmetry: No. 166
D(E_F) in states/eV per cell: 15.8
Total DFT energy (no corrections) in eV/atom: -6.10
Spin magnetization in μB/cell: 0.00



Compound: LiHfAl
Source: Alexandria via LeMat-Bulk
Functional: PBE
Structure: optimized geometry

a b c (Å): 4.5178 4.5178 4.5178
angles (deg): 60.00 60.00 60.00
Element x y z (fractional)
Li (0.0000, 0.0000, 0.0000)
Hf (0.5000, 0.5000, 0.5000)
Al (0.2500, 0.2500, 0.2500)

Values from the calculation:
E_form in kJ/mol of atoms: 38
Symmetry: No. 216
D(E_F) in states/eV per cell: 0.4
Total DFT energy (no corrections) in eV/atom: -4.81
Spin magnetization in μB/cell: 0.00



Compound: PmHo2Ga4
Source: Alexandria via LeMat-Bulk
Functional: PBE
Structure: optimized geometry

a b c (Å): 9.5925 9.5925 9.5925
angles (deg): 155.02 154.13 36.27
Element x y z (fractional)
Pm (0.0000, 0.0000, 0.0000)
Ho (0.1849, 0.6849, 0.5000)
Ho (0.8151, 0.3151, 0.5000)
Ga (0.3520, 0.8520, 0.5000)
Ga (0.4323, 0.4323, 0.0000)
Ga (0.5677, 0.5677, 0.0000)
Ga (0.6480, 0.1480, 0.5000)

Values from the calculation:
E_form in kJ/mol of atoms: -63
Symmetry: No. 71
D(E_F) in states/eV per cell: 4.6
Total DFT energy (no corrections) in eV/atom: -4.37
Spin magnetization in μB/cell: 0.00



Compound: Nd4CdSn3
Source: Alexandria via LeMat-Bulk
Functional: PBE
Structure: optimized geometry

a b c (Å): 4.4686 4.6016 11.8428
angles (deg): 90.00 90.00 90.00
Element x y z (fractional)
Nd (0.0000, 0.0000, 0.0000)
Nd (0.0000, 0.5000, 0.4980)
Nd (0.5000, 0.0000, 0.2735)
Nd (0.5000, 0.5000, 0.7754)
Cd (0.5000, 0.0000, 0.5556)
Sn (0.0000, 0.0000, 0.7208)
Sn (0.0000, 0.5000, 0.2244)
Sn (0.5000, 0.5000, 0.0474)

Values from the calculation:
E_form in kJ/mol of atoms: -62
Symmetry: No. 25
D(E_F) in states/eV per cell: 8.6
Total DFT energy (no corrections) in eV/atom: -4.65
Spin magnetization in μB/cell: 0.28



Compound: Be17NbOs
Source: Alexandria via LeMat-Bulk
Functional: PBE
Structure: optimized geometry

a b c (Å): 5.5054 5.5054 5.5054
angles (deg): 83.10 83.10 83.10
Element x y z (fractional)
Be (0.0506, 0.0506, 0.0506)
Be (0.1480, 0.4577, 0.8568)
Be (0.1480, 0.8568, 0.4577)
Be (0.1616, 0.1616, 0.6474)
Be (0.1616, 0.6474, 0.1616)
Be (0.2513, 0.2513, 0.2513)
Be (0.2996, 0.8069, 0.8069)
Be (0.4577, 0.1480, 0.8568)
Be (0.4577, 0.8568, 0.1480)
Be (0.5069, 0.5069, 0.9862)
Be (0.5069, 0.9862, 0.5069)
Be (0.6474, 0.1616, 0.1616)
Be (0.8069, 0.2996, 0.8069)
Be (0.8069, 0.8069, 0.2996)
Be (0.8568, 0.1480, 0.4577)
Be (0.8568, 0.4577, 0.1480)
Be (0.9862, 0.5069, 0.5069)
Nb (0.4940, 0.4940, 0.4940)
Os (0.8196, 0.8196, 0.8196)

Values from the calculation:
E_form in kJ/mol of atoms: -17
Symmetry: No. 160
D(E_F) in states/eV per cell: 2.9
Total DFT energy (no corrections) in eV/atom: -4.63
Spin magnetization in μB/cell: 0.00



Compound: Dy5Cd2
Source: Alexandria via LeMat-Bulk
Functional: PBE
Structure: optimized geometry

a b c (Å): 8.8904 8.8904 6.8462
angles (deg): 90.02 90.02 49.01
Element x y z (fractional)
Dy (0.0002, 0.9998, 0.2500)
Dy (0.9998, 0.0002, 0.7500)
Dy (0.2286, 0.2300, 0.2501)
Dy (0.2300, 0.2286, 0.7501)
Dy (0.2486, 0.5624, 0.9997)
Dy (0.4376, 0.7514, 0.5003)
Dy (0.5624, 0.2486, 0.4997)
Dy (0.7514, 0.4376, 0.0003)
Dy (0.7700, 0.7714, 0.2499)
Dy (0.7714, 0.7700, 0.7499)
Cd (0.1422, 0.6285, 0.4997)
Cd (0.3715, 0.8578, 0.0003)
Cd (0.6285, 0.1422, 0.9997)
Cd (0.8578, 0.3715, 0.5003)

Values from the calculation:
E_form in kJ/mol of atoms: -11
Symmetry: No. 15
D(E_F) in states/eV per cell: 12.3
Total DFT energy (no corrections) in eV/atom: -3.66
Spin magnetization in μB/cell: 0.00



Compound: NaPa2Tl3Se6
Source: Alexandria via LeMat-Bulk
Functional: PBE
Structure: optimized geometry

a b c (Å): 10.1164 10.1164 9.2345
angles (deg): 108.76 108.76 24.00
Element x y z (fractional)
Na (0.0000, 0.0000, 0.0000)
Pa (0.3343, 0.3343, 0.6736)
Pa (0.6657, 0.6657, 0.3264)
Tl (0.0000, 0.0000, 0.5000)
Tl (0.3447, 0.3447, 0.1684)
Tl (0.6553, 0.6553, 0.8316)
Se (0.1701, 0.1701, 0.1183)
Se (0.1775, 0.1775, 0.5517)
Se (0.4792, 0.4792, 0.7542)
Se (0.5208, 0.5208, 0.2458)
Se (0.8225, 0.8225, 0.4483)
Se (0.8299, 0.8299, 0.8817)

Values from the calculation:
Formation energy without anion corrections in meV per atom: -1004
Symmetry: No. 12
D(E_F) in states/eV per cell: 9.6
Total DFT energy (no corrections) in eV/atom: -5.03
Spin magnetization in μB/cell: 2.02



Compound: HoH2W
Source: Alexandria via LeMat-Bulk
Functional: PBE
Structure: optimized geometry

a b c (Å): 5.4548 5.4548 5.4548
angles (deg): 36.03 36.03 36.03
Element x y z (fractional)
Ho (0.0000, 0.0000, 0.0000)
H (0.3827, 0.3827, 0.3827)
H (0.6173, 0.6173, 0.6173)
W (0.5000, 0.5000, 0.5000)

Values from the calculation:
Symmetry: No. 166
D(E_F) in states/eV per cell: 3.5
Total DFT energy (no corrections) in eV/atom: -5.95
Spin magnetization in μB/cell: 0.00



Compound: MoAu2Br
Source: Alexandria via LeMat-Bulk
Functional: PBE
Structure: optimized geometry

a b c (Å): 7.3559 7.3559 7.3559
angles (deg): 156.82 144.31 42.99
Element x y z (fractional)
Mo (0.0000, 0.0000, 0.0000)
Au (0.1780, 0.6780, 0.5000)
Au (0.5536, 0.5536, 0.0000)
Br (0.8482, 0.3482, 0.5000)

Values from the calculation:
Formation energy without anion corrections in meV per atom: 297
Symmetry: No. 44
D(E_F) in states/eV per cell: 2.0
Total DFT energy (no corrections) in eV/atom: -4.47
Spin magnetization in μB/cell: 0.00



Compound: Cu4Si3
Source: Alexandria via LeMat-Bulk
Functional: PBE
Structure: optimized geometry

a b c (Å): 4.7603 4.7603 4.7218
angles (deg): 90.00 90.00 120.00
Element x y z (fractional)
Cu (0.0000, 0.0000, 0.2448)
Cu (0.0000, 0.0000, 0.7552)
Cu (0.3333, 0.6667, 0.0000)
Cu (0.6667, 0.3333, 0.0000)
Si (0.0000, 0.5000, 0.5000)
Si (0.5000, 0.0000, 0.5000)
Si (0.5000, 0.5000, 0.5000)

Values from the calculation:
Formation energy without anion corrections in meV per atom: 305
Symmetry: No. 191
D(E_F) in states/eV per cell: 1.8
Total DFT energy (no corrections) in eV/atom: -4.36
Spin magnetization in μB/cell: 0.00



Compound: LiMg2Re
Source: Alexandria via LeMat-Bulk
Functional: PBE
Structure: optimized geometry

a b c (Å): 4.8244 4.8244 4.8244
angles (deg): 128.70 128.70 75.49
Element x y z (fractional)
Li (0.0000, 0.0000, 0.0000)
Mg (0.2500, 0.7500, 0.5000)
Mg (0.7500, 0.2500, 0.5000)
Re (0.5000, 0.5000, 0.0000)

Values from the calculation:
E_form in kJ/mol of atoms: 47
Symmetry: No. 139
D(E_F) in states/eV per cell: 2.7
Total DFT energy (no corrections) in eV/atom: -3.90
Spin magnetization in μB/cell: 0.00



Compound: MnAg2I
Source: Alexandria via LeMat-Bulk
Functional: PBE
Structure: optimized geometry

a b c (Å): 4.9847 4.9847 4.9847
angles (deg): 60.00 60.00 60.00
Element x y z (fractional)
Mn (0.0000, 0.0000, 0.0000)
Ag (0.2500, 0.2500, 0.2500)
Ag (0.7500, 0.7500, 0.7500)
I (0.5000, 0.5000, 0.5000)

Values from the calculation:
Formation energy without anion corrections in meV per atom: 641
Symmetry: No. 225
D(E_F) in states/eV per cell: 1.4
Total DFT energy (no corrections) in eV/atom: -3.47
Spin magnetization in μB/cell: 4.00



spin magnetization of number 2 (LiHfAl)?
0.00 μB/cell



Which formula does entry 2 have?
LiHfAl